Compound: La4MgGa2Fe2O12
Source: Alexandria
Functional: GGA+U
Structure: relaxed

Cell and atoms, written as POSCAR:
```
La4MgGa2Fe2O12
1.0
5.578 0.000 0.000
-0.184 6.055 0.000
-0.261 -0.192 8.274
La Mg Ga Fe O
4 1 2 2 12
direct
0.000 0.000 0.000
0.052 0.818 0.547
0.483 0.334 0.549
0.575 0.476 0.009
0.128 0.600 0.185
0.028 0.409 0.779
0.531 0.893 0.286
0.534 0.902 0.756
0.952 0.248 0.354
0.126 0.382 0.009
0.228 0.100 0.733
0.235 0.083 0.355
0.321 0.597 0.737
0.346 0.616 0.370
0.358 0.818 0.076
0.653 0.954 0.513
0.696 0.179 0.200
0.731 0.214 0.819
0.817 0.728 0.204
0.824 0.705 0.824
0.922 0.426 0.548
```

Computed properties:
The volume comes out at 279.4 Å³/cell. For the final energy, the calculation gives -148.71 eV for the cell shown. The space group is P1. For the theoretical density, the calculation gives 6.079 g/cm3.